1.
Here is CuGe2Bi2Pt7 after structural relaxation from Alexandria via LeMat-Bulk. Energies are from PBE.

As for the formation enthalpy at 0 K: -0.248 eV per atom.

The structure belongs to space group I4/mmm (No. 139); the cell edges are 3.9485, 3.9485 and 30.7132 Å and the angles 90.00°, 90.00° and 90.00°. The inequivalent atoms are Cu at (0.0000, 0.0000, 0.0000), Ge at (0.0000, 0.0000, 0.3845), Bi at (0.0000, 0.0000, 0.2109), Pt at (0.0000, 0.0000, 0.3049), Pt at (0.0000, 0.0000, 0.5000) and Pt at (0.0000, 0.5000, 0.0645).

***

2.
Here is CrPd2Au after structural relaxation from Alexandria via LeMat-Bulk. Energies are from PBE.

As for the formation enthalpy at 0 K: 0.494 eV per atom.

The structure belongs to space group I-42d (No. 122); the cell edges are 7.0145, 7.0145 and 5.3877 Å and the angles 90.00°, 90.00° and 90.00°. The inequivalent atoms are Cr at (0.0000, 0.0000, 0.0000), Pd at (0.2091, 0.2500, 0.1250) and Au at (0.0000, 0.0000, 0.5000).

***

3.
Here is ScPBr3 after structural relaxation from Alexandria via LeMat-Bulk. Energies are from PBE.

The calculation puts the uncorrected formation energy at 0.11 eV/atom. The value obtained for the polymorph energy (0 for the lowest one) is 0.625 eV per atom.

The structure belongs to space group Pm-3m (No. 221); the cell edges are 5.2141, 5.2141 and 5.2141 Å and the angles 90.00°, 90.00° and 90.00°. The inequivalent atoms are Sc at (0.0000, 0.0000, 0.0000), P at (0.5000, 0.5000, 0.5000) and Br at (0.0000, 0.5000, 0.5000).

***

4.
Here is PaFeC2 after structural relaxation from Alexandria via LeMat-Bulk. Energies are from PBE.

The value obtained for the polymorph energy (0 for the lowest one) is 0.282 eV per atom. As for the formation enthalpy at 0 K: 0.030 eV per atom.

The structure belongs to space group R-3m (No. 166, hexagonal axes); the cell edges are 3.5148, 3.5148 and 12.7574 Å and the angles 90.00°, 90.00° and 120.00°. The inequivalent atoms are Pa at (0.0000, 0.0000, 0.0000), Fe at (0.0000, 0.0000, 0.5000) and C at (0.0000, 0.0000, 0.2223).

***

5.
Here is Ca2HfRh after structural relaxation from Alexandria via LeMat-Bulk. Energies are from PBE.

The value obtained for the polymorph energy (0 for the lowest one) is 0.256 eV per atom. As for the formation enthalpy at 0 K: 0.470 eV per atom.

The structure belongs to space group Fm-3m (No. 225); the cell edges are 7.2574, 7.2574 and 7.2574 Å and the angles 90.00°, 90.00° and 90.00°. The inequivalent atoms are Ca at (0.2500, 0.2500, 0.2500), Hf at (0.0000, 0.0000, 0.0000) and Rh at (0.0000, 0.0000, 0.5000).

***

6.
Here is K2GaGeAu6 after structural relaxation from Alexandria via LeMat-Bulk. Energies are from PBE.

As for the formation enthalpy at 0 K: -0.242 eV per atom.

The structure belongs to space group P-1 (No. 2); the cell edges are 7.0181, 7.0265 and 7.0864 Å and the angles 119.72°, 90.00° and 119.74°. The inequivalent atoms are K at (0.2089, 0.4167, 0.1242), Ga at (0.5000, 0.0000, 0.0000), Ge at (0.0000, 0.0000, 0.5000), Au at (0.2467, 0.9027, 0.6530), Au at (0.2489, 0.4971, 0.6562) and Au at (0.3413, 0.0928, 0.3438).

***

7.
Here is PmPaAgRu after structural relaxation from Alexandria via LeMat-Bulk. Energies are from PBE.

As for the formation enthalpy at 0 K: -0.034 eV per atom.

The structure belongs to space group F-43m (No. 216); the cell edges are 7.1036, 7.1036 and 7.1036 Å and the angles 90.00°, 90.00° and 90.00°. The inequivalent atoms are Pm at (0.0000, 0.0000, 0.0000), Pa at (0.0000, 0.0000, 0.5000), Ag at (0.2500, 0.2500, 0.7500) and Ru at (0.2500, 0.2500, 0.2500).

***

8.
Here is PmSiPt2 after structural relaxation from Alexandria via LeMat-Bulk. Energies are from PBE.

The calculation puts the uncorrected formation energy at -0.92 eV/atom.

The structure belongs to space group Cmmm (No. 65); the cell edges are 5.5216, 7.8419 and 3.9254 Å and the angles 90.00°, 90.00° and 90.00°. The inequivalent atoms are Pm at (0.0000, 0.0000, 0.0000), Si at (0.0000, 0.5000, 0.5000) and Pt at (0.2500, 0.2500, 0.5000).

***

9.
Here is CaPa2P3 after structural relaxation from Alexandria via LeMat-Bulk. Energies are from PBE.

As for the formation enthalpy at 0 K: -1.257 eV per atom.

The structure belongs to space group P2_1/c (No. 14); the cell edges are 5.6495, 11.9822 and 8.0244 Å and the angles 90.00°, 90.00° and 90.00°. The inequivalent atoms are Ca at (0.2497, 0.0795, 0.1240), Pa at (0.2497, 0.0836, 0.6234), Pa at (0.2506, 0.7473, 0.6244), P at (0.2494, 0.2482, 0.8745), P at (0.2503, 0.5861, 0.8788) and P at (0.2504, 0.5878, 0.3661).

***

10.
Here is AcLa2NbN4 after structural relaxation from Alexandria via LeMat-Bulk. Energies are from PBE.

The calculation puts the uncorrected formation energy at -1.10 eV/atom.

The structure belongs to space group Cmcm (No. 63); the cell edges are 3.5920, 12.6784 and 12.8039 Å and the angles 90.00°, 90.00° and 90.00°. The inequivalent atoms are Ac at (0.0000, 0.0919, 0.2500), La at (0.0000, 0.3699, 0.0364), Nb at (0.0000, 0.1707, 0.7500), N at (0.0000, 0.0000, 0.0000), N at (0.0000, 0.2675, 0.6324) and N at (0.0000, 0.4230, 0.2500).

***

The records above yield energy values of -132.71, -85.25, -16.23, -108.86, -77.71, -31.92, -106.05, -51.88, -179.05, -264.52 eV for the cell shown, respectively.
The records above yield size of the total moment values of 0.00, 0.00, 1.56, 0.00, 0.41, 0.00, 0.00, 0.00, 0.00, 0.00 μB per formula unit, respectively.